DFT (PBE+U) results for an optimized crystal structure of VSbO3. Values from VASP.

Values from the calculation:
Calculated density   5.70 g/cm³
M_tot   0.400 μB per atom
Total energy   -6.930 eV per atom

```
&SYSTEM
  ibrav = 0, nat = 20, ntyp = 3
/
ATOMIC_SPECIES
V 50.94 V.upf
Sb 121.76 Sb.upf
O 16.00 O.upf
CELL_PARAMETERS angstrom
-3.579 3.807 0.490
-5.445 -5.045 -0.580
1.984 0.998 6.738
ATOMIC_POSITIONS angstrom
V -1.178 -0.128 6.126
V -5.862 -0.111 0.523
V -3.099 2.368 0.807
V -3.941 -2.607 5.842
Sb -5.226 0.163 4.255
Sb -1.814 -0.403 2.394
Sb -4.733 -2.717 2.131
Sb -2.308 2.477 4.518
O -1.994 -2.000 6.082
O -5.046 1.761 0.567
O -6.629 -1.974 0.121
O -0.411 1.734 6.527
O -2.899 0.766 5.420
O -4.142 -1.006 1.229
O -0.195 0.214 1.351
O -6.846 -0.454 5.298
O -0.517 -0.322 4.123
O -6.524 0.082 2.525
O -2.699 1.432 2.664
O -4.341 -1.672 3.984
```